Entry 1:
# HfZr14Sc | Alexandria | PBE | optimized geometry
# Magnetization ... 0.000 μB/atom
# Total DFT energy (no corrections) ... -8.455 eV/atom
# D(E_F) ... 1.2431 states/eV per atom
data_HfZr14Sc
_chemical_formula_sum 'Hf2 Zr28 Sc2'
_cell_length_a 9.935
_cell_length_b 7.407
_cell_length_c 10.096
_cell_angle_alpha 90.00
_cell_angle_beta 90.00
_cell_angle_gamma 90.00
_space_group_name_H-M_alt 'A m m 2'
_space_group_IT_number 38
loop_
_space_group_symop_operation_xyz
'x,y,z'
'-x,-y,z'
'-x,y,z'
'x,-y,z'
'x,y+1/2,z+1/2'
'-x,-y+1/2,z+1/2'
'-x,y+1/2,z+1/2'
'x,-y+1/2,z+1/2'
loop_
_atom_site_label
_atom_site_type_symbol
_atom_site_fract_x
_atom_site_fract_y
_atom_site_fract_z
Hf1 Hf 0.000 0.000 0.000
Zr1 Zr 0.000 0.210 0.720
Zr2 Zr 0.241 0.000 0.235
Zr3 Zr 0.249 0.217 0.516
Zr4 Zr 0.259 0.000 0.796
Zr5 Zr 0.500 0.000 0.030
Zr6 Zr 0.500 0.000 0.589
Zr7 Zr 0.500 0.212 0.311
Sc1 Sc 0.000 0.000 0.442

Entry 2:
# Hf3Zr4Sc16 | Alexandria | PBE | optimized geometry
# Magnetization ... 0.000 μB/atom
# Total DFT energy (no corrections) ... -6.994 eV/atom
# D(E_F) ... 1.6959 states/eV per atom
data_Hf3Zr4Sc16
_chemical_formula_sum 'Hf3 Zr4 Sc16'
_cell_length_a 6.421
_cell_length_b 9.933
_cell_length_c 8.767
_cell_angle_alpha 90.00
_cell_angle_beta 94.48
_cell_angle_gamma 90.00
_space_group_name_H-M_alt 'P 1 2/m 1'
_space_group_IT_number 10
loop_
_space_group_symop_operation_xyz
'x,y,z'
'-x,-y,-z'
'-x,y,-z'
'x,-y,z'
loop_
_atom_site_label
_atom_site_type_symbol
_atom_site_fract_x
_atom_site_fract_y
_atom_site_fract_z
Hf1 Hf 0.000 0.000 0.000
Hf2 Hf 0.000 0.500 0.500
Hf3 Hf 0.500 0.000 0.500
Zr1 Zr 0.100 0.500 0.844
Zr2 Zr 0.440 0.000 0.162
Sc1 Sc 0.114 0.000 0.663
Sc2 Sc 0.157 0.237 0.291
Sc3 Sc 0.264 0.237 0.953
Sc4 Sc 0.336 0.289 0.624
Sc5 Sc 0.399 0.500 0.167

Entry 3:
# HfZr2Sc7 | Alexandria | PBE | optimized geometry
# Magnetization ... 0.000 μB/atom
# Total DFT energy (no corrections) ... -6.990 eV/atom
# D(E_F) ... 1.7156 states/eV per atom
data_HfZr2Sc7
_chemical_formula_sum 'Hf1 Zr2 Sc7'
_cell_length_a 7.889
_cell_length_b 3.110
_cell_length_c 10.566
_cell_angle_alpha 90.00
_cell_angle_beta 111.72
_cell_angle_gamma 90.00
_space_group_name_H-M_alt 'P 1 2/m 1'
_space_group_IT_number 10
loop_
_space_group_symop_operation_xyz
'x,y,z'
'-x,-y,-z'
'-x,y,-z'
'x,-y,z'
loop_
_atom_site_label
_atom_site_type_symbol
_atom_site_fract_x
_atom_site_fract_y
_atom_site_fract_z
Hf1 Hf 0.000 0.000 0.000
Zr1 Zr 0.277 0.500 0.893
Sc1 Sc 0.091 0.500 0.302
Sc2 Sc 0.216 0.000 0.618
Sc3 Sc 0.390 0.500 0.184
Sc4 Sc 0.500 0.500 0.500

Entry 4:
# Hf8Zr6Sc | Alexandria | PBE | optimized geometry
# Magnetization ... 0.000 μB/atom
# Total DFT energy (no corrections) ... -8.960 eV/atom
# D(E_F) ... 1.3035 states/eV per atom
data_Hf8Zr6Sc
_chemical_formula_sum 'Hf8 Zr6 Sc1'
_cell_length_a 8.4841
_cell_length_b 8.4841
_cell_length_c 5.5751
_cell_angle_alpha 90.00
_cell_angle_beta 90.00
_cell_angle_gamma 120.00
_space_group_name_H-M_alt 'P -3'
_space_group_IT_number 147
loop_
_space_group_symop_operation_xyz
'x,y,z'
'-x,-y,-z'
'-y,x-y,z'
'y,-x+y,-z'
'-x+y,-x,z'
'x-y,x,-z'
loop_
_atom_site_label
_atom_site_type_symbol
_atom_site_fract_x
_atom_site_fract_y
_atom_site_fract_z
Hf1 Hf 0.0432 0.7620 0.3164
Hf2 Hf 0.3333 0.6667 0.3605
Zr1 Zr 0.0868 0.6416 0.8113
Sc1 Sc 0.0000 0.0000 0.0000

Entry 5:
# Hf6ZrSc | Alexandria | PBE | optimized geometry
# Magnetization ... 0.000 μB/atom
# Total DFT energy (no corrections) ... -9.335 eV/atom
# D(E_F) ... 0.7008 states/eV per atom
data_Hf6ZrSc
_chemical_formula_sum 'Hf12 Zr2 Sc2'
_cell_length_a 5.075
_cell_length_b 6.420
_cell_length_c 11.122
_cell_angle_alpha 90.00
_cell_angle_beta 90.00
_cell_angle_gamma 90.00
_space_group_name_H-M_alt 'A m m 2'
_space_group_IT_number 38
loop_
_space_group_symop_operation_xyz
'x,y,z'
'-x,-y,z'
'-x,y,z'
'x,-y,z'
'x,y+1/2,z+1/2'
'-x,-y+1/2,z+1/2'
'-x,y+1/2,z+1/2'
'x,-y+1/2,z+1/2'
loop_
_atom_site_label
_atom_site_type_symbol
_atom_site_fract_x
_atom_site_fract_y
_atom_site_fract_z
Hf1 Hf 0.000 0.000 0.000
Hf2 Hf 0.000 0.247 0.249
Hf3 Hf 0.500 0.000 0.166
Hf4 Hf 0.500 0.247 0.915
Zr1 Zr 0.500 0.000 0.668
Sc1 Sc 0.000 0.000 0.499

Entry 6:
# Hf5Zr4Sc | Alexandria | PBE | optimized geometry
# Magnetization ... 0.000 μB/atom
# Total DFT energy (no corrections) ... -8.731 eV/atom
# D(E_F) ... 1.2968 states/eV per atom
data_Hf5Zr4Sc
_chemical_formula_sum 'Hf10 Zr8 Sc2'
_cell_length_a 13.547
_cell_length_b 5.190
_cell_length_c 8.975
_cell_angle_alpha 90.00
_cell_angle_beta 131.09
_cell_angle_gamma 90.00
_space_group_name_H-M_alt 'C 1 2/m 1'
_space_group_IT_number 12
loop_
_space_group_symop_operation_xyz
'x,y,z'
'-x,-y,-z'
'-x,y,-z'
'x,-y,z'
'x+1/2,y+1/2,z'
'-x+1/2,-y+1/2,-z'
'-x+1/2,y+1/2,-z'
'x+1/2,-y+1/2,z'
loop_
_atom_site_label
_atom_site_type_symbol
_atom_site_fract_x
_atom_site_fract_y
_atom_site_fract_z
Hf1 Hf 0.000 0.000 0.000
Hf2 Hf 0.080 0.000 0.427
Hf3 Hf 0.084 0.500 0.234
Zr1 Zr 0.248 0.500 0.676
Zr2 Zr 0.249 0.500 0.105
Sc1 Sc 0.000 0.500 0.500

Entry 7:
# HfZr7Sc4 | Alexandria | PBE | optimized geometry
# Magnetization ... 0.000 μB/atom
# Total DFT energy (no corrections) ... -7.808 eV/atom
# D(E_F) ... 1.3588 states/eV per atom
data_HfZr7Sc4
_chemical_formula_sum 'Hf2 Zr14 Sc8'
_cell_length_a 16.818
_cell_length_b 6.291
_cell_length_c 5.281
_cell_angle_alpha 90.00
_cell_angle_beta 90.09
_cell_angle_gamma 90.00
_space_group_name_H-M_alt 'C 1 2/m 1'
_space_group_IT_number 12
loop_
_space_group_symop_operation_xyz
'x,y,z'
'-x,-y,-z'
'-x,y,-z'
'x,-y,z'
'x+1/2,y+1/2,z'
'-x+1/2,-y+1/2,-z'
'-x+1/2,y+1/2,-z'
'x+1/2,-y+1/2,z'
loop_
_atom_site_label
_atom_site_type_symbol
_atom_site_fract_x
_atom_site_fract_y
_atom_site_fract_z
Hf1 Hf 0.000 0.000 0.000
Zr1 Zr 0.000 0.000 0.500
Zr2 Zr 0.042 0.500 0.247
Zr3 Zr 0.185 0.000 0.247
Zr4 Zr 0.214 0.500 0.255
Sc1 Sc 0.135 0.268 0.752

Entry 8:
# Hf2ZrSc | Alexandria | PBE | optimized geometry
# Magnetization ... 0.000 μB/atom
# Total DFT energy (no corrections) ... -8.708 eV/atom
# D(E_F) ... 0.8326 states/eV per atom
data_Hf2ZrSc
_chemical_formula_sum 'Hf4 Zr2 Sc2'
_cell_length_a 3.223
_cell_length_b 10.158
_cell_length_c 5.594
_cell_angle_alpha 90.00
_cell_angle_beta 90.00
_cell_angle_gamma 90.00
_space_group_name_H-M_alt 'I m m 2'
_space_group_IT_number 44
loop_
_space_group_symop_operation_xyz
'x,y,z'
'-x,-y,z'
'-x,y,z'
'x,-y,z'
'x+1/2,y+1/2,z+1/2'
'-x+1/2,-y+1/2,z+1/2'
'-x+1/2,y+1/2,z+1/2'
'x+1/2,-y+1/2,z+1/2'
loop_
_atom_site_label
_atom_site_type_symbol
_atom_site_fract_x
_atom_site_fract_y
_atom_site_fract_z
Hf1 Hf 0.000 0.250 0.000
Zr1 Zr 0.000 0.000 0.333
Sc1 Sc 0.000 0.500 0.330

Entry 9:
# HfZr4Sc4 | Alexandria | PBE | optimized geometry
# Magnetization ... 0.000 μB/atom
# Total DFT energy (no corrections) ... -7.680 eV/atom
# D(E_F) ... 1.5160 states/eV per atom
data_HfZr4Sc4
_chemical_formula_sum 'Hf2 Zr8 Sc8'
_cell_length_a 9.625
_cell_length_b 9.625
_cell_length_c 4.526
_cell_angle_alpha 90.00
_cell_angle_beta 90.00
_cell_angle_gamma 90.00
_space_group_name_H-M_alt 'I 4/m m m'
_space_group_IT_number 139
_space_group_name_Hall '-I 4 2'
loop_
_atom_site_label
_atom_site_type_symbol
_atom_site_fract_x
_atom_site_fract_y
_atom_site_fract_z
Hf1 Hf 0.000 0.000 0.000
Zr1 Zr 0.000 0.335 0.000
Sc1 Sc 0.166 0.166 0.500

Entry 10:
# Hf8Zr4Sc | Alexandria | PBE | optimized geometry
# Magnetization ... 0.016 μB/atom
# Total DFT energy (no corrections) ... -8.903 eV/atom
# D(E_F) ... 1.1299 states/eV per atom
data_Hf8Zr4Sc
_chemical_formula_sum 'Hf16 Zr8 Sc2'
_cell_length_a 11.350
_cell_length_b 6.563
_cell_length_c 8.935
_cell_angle_alpha 90.00
_cell_angle_beta 114.92
_cell_angle_gamma 90.00
_space_group_name_H-M_alt 'C 1 2/m 1'
_space_group_IT_number 12
loop_
_space_group_symop_operation_xyz
'x,y,z'
'-x,-y,-z'
'-x,y,-z'
'x,-y,z'
'x+1/2,y+1/2,z'
'-x+1/2,-y+1/2,-z'
'-x+1/2,y+1/2,-z'
'x+1/2,-y+1/2,z'
loop_
_atom_site_label
_atom_site_type_symbol
_atom_site_fract_x
_atom_site_fract_y
_atom_site_fract_z
Hf1 Hf 0.028 0.220 0.303
Hf2 Hf 0.214 0.000 0.640
Hf3 Hf 0.248 0.000 0.303
Zr1 Zr 0.000 0.000 0.000
Zr2 Zr 0.000 0.500 0.000
Zr3 Zr 0.250 0.250 0.000
Sc1 Sc 0.000 0.500 0.500